Compound: USbBrO4
Source: Alexandria
Functional: PBE
Structure: relaxed

Unit cell a=7.299 b=7.299 c=7.339 alpha=109.09 beta=109.09 gamma=59.52
Fractional coordinates of all 14 atoms:
U: 0.120 0.120 0.219
U: 0.880 0.880 0.781
Sb: 0.259 0.259 0.795
Sb: 0.741 0.741 0.205
Br: 0.449 0.449 0.719
Br: 0.551 0.551 0.281
O: 0.024 0.429 0.230
O: 0.061 0.061 0.902
O: 0.151 0.151 0.515
O: 0.429 0.024 0.230
O: 0.571 0.976 0.770
O: 0.849 0.849 0.485
O: 0.939 0.939 0.098
O: 0.976 0.571 0.770

**Uncorrected formation energy**: -2.0097 eV/atom

=====

Compound: ZnNiAg2
Source: Alexandria
Functional: PBE
Structure: relaxed

Unit cell a=3.946 b=3.946 c=3.894 alpha=90.00 beta=90.00 gamma=90.00
Fractional coordinates of all 4 atoms:
Zn: 0.000 0.000 0.000
Ni: 0.500 0.500 0.000
Ag: 0.000 0.500 0.500
Ag: 0.500 0.000 0.500

**DFT formation energy**: 0.05 eV/atom

=====

Compound: KCr2P
Source: Alexandria
Functional: PBE
Structure: relaxed

Unit cell a=7.078 b=4.012 c=6.458 alpha=90.00 beta=101.47 gamma=90.00
Fractional coordinates of all 8 atoms:
K: 0.000 0.000 0.000
K: 0.500 0.500 0.000
Cr: 0.172 0.000 0.519
Cr: 0.328 0.500 0.481
Cr: 0.672 0.500 0.519
Cr: 0.828 0.000 0.481
P: 0.000 0.500 0.500
P: 0.500 0.000 0.500

**DFT formation energy**: 0.17 eV/atom